# PaGaCo (PBE, optimized geometry)
# N(E_F) (states/eV/f.u.): 3.22
# ΔH_f (0 K) (eV/atom): -0.328
data_PaGaCo
_space_group_name_H-M_alt 'I 4 m m'
_space_group_IT_number 107
_space_group_name_Hall 'I 4 -2'
_cell_length_a 3.063
_cell_length_b 3.063
_cell_length_c 10.854
_cell_angle_alpha 90.00
_cell_angle_beta 90.00
_cell_angle_gamma 90.00
loop_
_atom_site_label
_atom_site_type_symbol
_atom_site_fract_x
_atom_site_fract_y
_atom_site_fract_z
Pa1 Pa 0.000 0.000 0.000
Ga1 Ga 0.000 0.000 0.287
Co1 Co 0.000 0.000 0.660


# Ca2SmPt9 (PBE, optimized geometry)
# N(E_F) (states/eV/f.u.): 9.22
# ΔH_f (0 K) (eV/atom): -0.828
data_Ca2SmPt9
_space_group_name_H-M_alt 'R -3 m'
_space_group_IT_number 166
_space_group_name_Hall '-R 3 2"'
_cell_length_a 5.4170
_cell_length_b 5.4170
_cell_length_c 26.6780
_cell_angle_alpha 90.00
_cell_angle_beta 90.00
_cell_angle_gamma 120.00
loop_
_atom_site_label
_atom_site_type_symbol
_atom_site_fract_x
_atom_site_fract_y
_atom_site_fract_z
Ca1 Ca 0.0000 0.0000 0.1419
Sm1 Sm 0.0000 0.0000 0.0000
Pt1 Pt 0.0000 0.0000 0.3329
Pt2 Pt 0.0000 0.0000 0.5000
Pt3 Pt 0.0029 0.5014 0.9157


# Ac3AsO3 (PBE, optimized geometry)
# E above lowest polymorph (eV per atom): 0.0361
# E_form (uncorrected) (kJ/mol of formula units): -1829
data_Ac3AsO3
_space_group_name_H-M_alt 'P 63/m'
_space_group_IT_number 176
_space_group_name_Hall '-P 6c'
_cell_length_a 9.9052
_cell_length_b 9.9052
_cell_length_c 4.2753
_cell_angle_alpha 90.00
_cell_angle_beta 90.00
_cell_angle_gamma 120.00
loop_
_atom_site_label
_atom_site_type_symbol
_atom_site_fract_x
_atom_site_fract_y
_atom_site_fract_z
Ac1 Ac 0.1056 0.7044 0.2500
As1 As 0.3333 0.6667 0.7500
O1 O 0.0268 0.3179 0.2500


# MnNiAg2Ru (PBE, optimized geometry)
# N(E_F) (states/eV/f.u.): 5.01
# ΔH_f (0 K) (eV/atom): 1.241
data_MnNiAg2Ru
_space_group_name_H-M_alt 'P 4/m m m'
_space_group_IT_number 123
_space_group_name_Hall '-P 4 2'
_cell_length_a 4.671
_cell_length_b 4.671
_cell_length_c 4.360
_cell_angle_alpha 90.00
_cell_angle_beta 90.00
_cell_angle_gamma 90.00
loop_
_atom_site_label
_atom_site_type_symbol
_atom_site_fract_x
_atom_site_fract_y
_atom_site_fract_z
Mn1 Mn 0.000 0.000 0.000
Ni1 Ni 0.000 0.000 0.500
Ag1 Ag 0.000 0.500 0.500
Ru1 Ru 0.500 0.500 0.000